The following is a DFT calculation (PBEsol) of an optimized crystal structure of La5Pb.

Lattice parameters (Å, degrees): 4.922 15.749 4.967 90.00 90.00 90.00
Space group Cmmm (No. 65)
Asymmetric unit:
La 0.000 0.000 0.000
La 0.000 0.165 0.500
La 0.000 0.342 0.000
Pb 0.000 0.500 0.500

Calculated values
- energy relative to the elements (eV/atom) = -0.238
- polymorph energy (0 for the lowest one) (meV/atom) = 0